(1)
Material: Te3P
Method: DFT, PBE
State: relaxed

Computed properties:
Theoretical density   5.47 g/cm3
Symmetry   Pmm2 (25)
E_form (uncorrected)   0.260 eV/atom
Total moment   0.00 μB per formula unit
ΔE to the lowest computed polymorph   71 meV per atom
Total DFT energy (no corrections)   -13.8 eV/cell

POSCAR file:
```
Te3P
1.0
-0.731 -1.107 3.555
-1.337 -3.805 -1.460
7.176 -2.759 0.617
Te P
3 1
Cartesian
2.525 -3.131 -0.455
0.209 -2.934 1.154
4.986 -2.611 2.238
6.954 -2.674 0.598
```



(2)
Material: HoErTm2Sc2
Method: DFT, PBE
State: relaxed

Computed properties:
Theoretical density   7.41 g/cm3
Energy relative to the elements   0.0739 eV per atom
Symmetry   Pnnm (58)
Total moment   0.00 μB per formula unit
Total DFT energy (no corrections)   -60.6 eV/cell

POSCAR file:
```
HoErTm2Sc2
1.0
5.401 0.000 0.000
0.000 9.323 0.000
0.000 0.000 6.767
Ho Er Tm Sc
2 2 4 4
Cartesian
2.701 4.661 0.000
0.000 0.000 3.384
0.000 0.000 0.000
2.701 4.661 3.384
2.701 7.772 1.688
2.701 1.551 5.079
0.000 6.213 5.072
0.000 3.110 1.696
2.701 1.557 1.694
0.000 6.218 1.690
2.701 7.766 5.074
0.000 3.105 5.077
```



(3)
Material: MnTl4Br6
Method: DFT, PBE
State: relaxed

Computed properties:
Theoretical density   6.04 g/cm3
Symmetry   P4/mnc (128)
E_form (uncorrected)   -0.835 eV/atom
Total moment   5.00 μB per formula unit
Total DFT energy (no corrections)   -75.7 eV/cell

POSCAR file:
```
MnTl4Br6
1.0
-1.003 4.890 7.309
-8.376 1.711 -2.294
-2.872 -7.690 4.752
Mn Tl Br
2 8 12
Cartesian
-4.689 3.301 2.508
-1.436 -3.845 2.376
-2.366 0.028 3.349
-7.801 -3.886 3.197
-9.885 -1.117 6.418
-5.886 -1.049 8.946
-3.802 -3.817 5.725
-6.365 -0.041 0.821
-4.450 2.796 6.570
-8.449 2.728 4.042
-9.046 -0.941 2.477
-6.034 4.925 4.325
-2.402 3.424 4.089
-3.976 -2.736 2.636
-0.638 -1.708 1.055
-5.487 1.164 3.828
-6.977 3.177 0.926
-2.234 -5.982 3.696
-3.345 1.676 0.690
-6.763 -2.253 5.939
-8.275 1.647 7.131
-3.205 -0.149 7.290
```



(4)
Material: Tc2SbI
Method: DFT, PBE
State: relaxed

Computed properties:
Theoretical density   10.14 g/cm3
Symmetry   Fm-3m (225)
E_form (uncorrected)   0.679 eV/atom
Total moment   0.00 μB per formula unit
ΔE to the lowest computed polymorph   0 meV per atom
Total DFT energy (no corrections)   -23.7 eV/cell

POSCAR file:
```
Tc2SbI
1.0
0.000 3.315 3.315
3.315 0.000 3.315
3.315 3.315 0.000
I Sb Tc
1 1 2
Cartesian
3.315 3.315 3.315
0.000 0.000 0.000
1.657 1.657 1.657
4.972 4.972 4.972
```



(5)
Material: RbGa3Tc
Method: DFT, PBE
State: relaxed

Computed properties:
Theoretical density   5.54 g/cm3
Energy relative to the elements   0.1074 eV per atom
Symmetry   P4mm (99)
Total moment   0.00 μB per formula unit
ΔE to the lowest computed polymorph   251 meV per atom
Total DFT energy (no corrections)   -19.9 eV/cell

POSCAR file:
```
RbGa3Tc
1.0
-3.219 0.863 1.442
-1.115 -3.427 -0.438
3.091 -2.044 8.124
Ga Tc Rb
3 1 1
Cartesian
2.168 -1.433 5.698
-0.309 -0.428 4.138
0.743 -2.573 3.198
-0.154 -2.613 5.791
0.217 -0.144 0.571
```



(6)
Material: TiCF3
Method: DFT, PBE
State: relaxed

Computed properties:
Theoretical density   3.09 g/cm3
Symmetry   Pm-3m (221)
E_form (uncorrected)   -1.041 eV/atom
Total moment   2.02 μB per formula unit
Total DFT energy (no corrections)   -27.9 eV/cell

POSCAR file:
```
TiCF3
1.0
-0.362 -3.847 -0.935
2.852 -0.905 2.617
-2.746 -0.432 2.842
C F Ti
1 3 1
Cartesian
-0.128 -2.592 2.262
1.426 -0.453 1.309
-1.373 -0.216 1.421
-0.181 -1.923 -0.468
0.000 0.000 0.000
```